(A)
The following is a PBE calculation of an optimized crystal structure of TaZnHg3, from the Alexandria database.

Summary:
V: 23.56 Å³/atom

Cell lengths 4.9020, 4.9020, 4.9020 Å; angles 90.00, 90.00, 90.00 degrees
Space group Pm-3m (No. 221)
Symmetry-distinct sites (fractional):
Ta (0.0000, 0.0000, 0.0000) [1 per cell]
Zn (0.5000, 0.5000, 0.5000) [1 per cell]
Hg (0.0000, 0.5000, 0.5000) [3 per cell]

(B)
The following is a PBE calculation of an optimized crystal structure of TaZnHg3, from the Alexandria database.

Summary:
V: 34.19 Å³/atom

Cell lengths 5.5498, 5.5498, 5.5498 Å; angles 90.00, 90.00, 90.00 degrees
Space group Pm-3m (No. 221)
Symmetry-distinct sites (fractional):
Ta (0.0000, 0.0000, 0.0000) [1 per cell]
Zn (0.5000, 0.5000, 0.5000) [1 per cell]
Hg (0.0000, 0.0000, 0.5000) [3 per cell]

Which one sits at the top of the stability order? (B) does.

(A)
The following is a PBE calculation of an optimized crystal structure of ZrTa2Hg2, from the Alexandria database.

Summary:
V: 20.66 Å³/atom

Cell lengths 8.2621, 8.2621, 3.0268 Å; angles 90.00, 90.00, 90.00 degrees
Space group P4/mbm (No. 127)
Symmetry-distinct sites (fractional):
Zr (0.0000, 0.0000, 0.0000) [2 per cell]
Ta (0.1177, 0.3823, 0.0000) [4 per cell]
Hg (0.1784, 0.6784, 0.5000) [4 per cell]

(B)
The following is a PBE calculation of an optimized crystal structure of ZrTa2Hg2, from the Alexandria database.

Summary:
V: 22.36 Å³/atom

Cell lengths 4.1267, 4.1267, 13.1310 Å; angles 90.00, 90.00, 90.00 degrees
Space group I4/mmm (No. 139)
Symmetry-distinct sites (fractional):
Zr (0.0000, 0.0000, 0.0000) [2 per cell]
Ta (0.0000, 0.0000, 0.4054) [4 per cell]
Hg (0.0000, 0.5000, 0.2500) [4 per cell]

Which one sits at the top of the stability order? (A) does.

(A)
The following is a PBE calculation of an optimized crystal structure of Tb3Hg4, from the Alexandria database.

Summary:
V: 26.75 Å³/atom

Cell lengths 9.0815, 9.0815, 9.0815 Å; angles 90.00, 90.00, 90.00 degrees
Space group I-43d (No. 220)
Symmetry-distinct sites (fractional):
Tb (0.0000, 0.2500, 0.3750) [12 per cell]
Hg (0.0835, 0.0835, 0.0835) [16 per cell]

(B)
The following is a PBE calculation of an optimized crystal structure of Tb3Hg4, from the Alexandria database.

Summary:
V: 28.14 Å³/atom

Cell lengths 5.1068, 5.1068, 26.1688 Å; angles 90.00, 90.00, 120.00 degrees
Space group R-3m (No. 166, hexagonal axes)
Symmetry-distinct sites (fractional):
Tb (0.0000, 0.0000, 0.0000) [3 per cell]
Tb (0.0000, 0.0000, 0.2442) [6 per cell]
Hg (0.0000, 0.0000, 0.1265) [6 per cell]
Hg (0.0000, 0.0000, 0.3752) [6 per cell]

Which one sits at the top of the stability order? (A) does.

(A)
The following is a PBE calculation of an optimized crystal structure of TbHg6, from the Alexandria database.

Summary:
V: 26.00 Å³/atom

Cell lengths 5.0698, 5.0698, 7.0807 Å; angles 90.00, 90.00, 90.00 degrees
Space group P4/mmm (No. 123)
Symmetry-distinct sites (fractional):
Tb (0.0000, 0.0000, 0.0000) [1 per cell]
Hg (0.0000, 0.0000, 0.5000) [1 per cell]
Hg (0.0000, 0.5000, 0.2724) [4 per cell]
Hg (0.5000, 0.5000, 0.0000) [1 per cell]

(B)
The following is a PBE calculation of an optimized crystal structure of TbHg6, from the Alexandria database.

Summary:
V: 35.51 Å³/atom

Cell lengths 7.9219, 7.9219, 7.9219 Å; angles 90.00, 90.00, 90.00 degrees
Space group Im-3m (No. 229)
Symmetry-distinct sites (fractional):
Tb (0.0000, 0.0000, 0.0000) [2 per cell]
Hg (0.0000, 0.2500, 0.5000) [12 per cell]

Which one sits at the top of the stability order? (A) does.

(A)
The following is a PBE calculation of an optimized crystal structure of Tb4Hg, from the Alexandria database.

Summary:
V: 31.22 Å³/atom

Cell lengths 6.4625, 6.4625, 14.9507 Å; angles 90.00, 90.00, 90.00 degrees
Space group I4_1/a (No. 88, origin choice 2)
Symmetry-distinct sites (fractional):
Tb (0.1388, 0.4993, 0.2964) [16 per cell]
Hg (0.0000, 0.2500, 0.1250) [4 per cell]

(B)
The following is a PBE calculation of an optimized crystal structure of Tb4Hg, from the Alexandria database.

Summary:
V: 29.71 Å³/atom

Cell lengths 3.5912, 3.5912, 23.0364 Å; angles 90.00, 90.00, 90.00 degrees
Space group I4/mmm (No. 139)
Symmetry-distinct sites (fractional):
Tb (0.0000, 0.0000, 0.0875) [4 per cell]
Tb (0.0000, 0.0000, 0.3040) [4 per cell]
Hg (0.0000, 0.0000, 0.5000) [2 per cell]

Which one sits at the top of the stability order? (B) does.

(A)
The following is a PBE calculation of an optimized crystal structure of Tb6TcHg2, from the Alexandria database.

Summary:
V: 27.25 Å³/atom

Cell lengths 4.0711, 14.4362, 8.3450 Å; angles 90.00, 90.00, 90.00 degrees
Space group Amm2 (No. 38)
Symmetry-distinct sites (fractional):
Tb (0.0000, 0.0000, 0.0000) [2 per cell]
Tb (0.0000, 0.1207, 0.6369) [4 per cell]
Tb (0.5000, 0.0000, 0.3599) [2 per cell]
Tb (0.5000, 0.1991, 0.9567) [4 per cell]
Tc (0.5000, 0.0000, 0.7589) [2 per cell]
Hg (0.0000, 0.1668, 0.2578) [4 per cell]

(B)
The following is a PBE calculation of an optimized crystal structure of Tb6TcHg2, from the Alexandria database.

Summary:
V: 30.03 Å³/atom

Cell lengths 5.1392, 7.1246, 14.7611 Å; angles 90.00, 90.00, 90.00 degrees
Space group Immm (No. 71)
Symmetry-distinct sites (fractional):
Tb (0.0000, 0.2314, 0.0000) [4 per cell]
Tb (0.0000, 0.2562, 0.3433) [8 per cell]
Tc (0.0000, 0.5000, 0.5000) [2 per cell]
Hg (0.0000, 0.5000, 0.1665) [4 per cell]

Which one sits at the top of the stability order? (A) does.

(A)
The following is a PBE calculation of an optimized crystal structure of Tb4TcHg, from the Alexandria database.

Summary:
V: 29.92 Å³/atom

Cell lengths 7.7046, 6.9399, 6.7159 Å; angles 90.00, 90.51, 90.00 degrees
Space group P2_1/c (No. 14)
Symmetry-distinct sites (fractional):
Tb (0.1414, 0.1501, 0.1625) [4 per cell]
Tb (0.2962, 0.6503, 0.1405) [4 per cell]
Tc (0.0000, 0.0000, 0.5000) [2 per cell]
Hg (0.5000, 0.0000, 0.0000) [2 per cell]

(B)
The following is a PBE calculation of an optimized crystal structure of Tb4TcHg, from the Alexandria database.

Summary:
V: 27.59 Å³/atom

Cell lengths 8.5367, 12.7280, 6.3265 Å; angles 90.00, 105.59, 90.00 degrees
Space group C2/c (No. 15)
Symmetry-distinct sites (fractional):
Tb (0.1057, 0.1700, 0.0408) [8 per cell]
Tb (0.2158, 0.4201, 0.4063) [8 per cell]
Tc (0.0000, 0.0012, 0.2500) [4 per cell]
Hg (0.0000, 0.3729, 0.7500) [4 per cell]

Which one sits at the top of the stability order? (B) does.

(A)
The following is a PBE calculation of an optimized crystal structure of Tb8TcHg2, from the Alexandria database.

Summary:
V: 27.92 Å³/atom

Cell lengths 17.5412, 5.3288, 6.9546 Å; angles 90.00, 109.11, 90.00 degrees
Space group C2/m (No. 12)
Symmetry-distinct sites (fractional):
Tb (0.0225, 0.0000, 0.2896) [4 per cell]
Tb (0.0915, 0.5000, 0.9262) [4 per cell]
Tb (0.1548, 0.5000, 0.4538) [4 per cell]
Tb (0.1956, 0.0000, 0.7903) [4 per cell]
Tc (0.0000, 0.5000, 0.5000) [2 per cell]
Hg (0.1840, 0.0000, 0.2084) [4 per cell]

(B)
The following is a PBE calculation of an optimized crystal structure of Tb8TcHg2, from the Alexandria database.

Summary:
V: 27.59 Å³/atom

Cell lengths 5.0557, 8.4293, 14.2408 Å; angles 90.00, 90.00, 90.00 degrees
Space group Immm (No. 71)
Symmetry-distinct sites (fractional):
Tb (0.0000, 0.0000, 0.1206) [4 per cell]
Tb (0.0000, 0.2316, 0.3499) [8 per cell]
Tb (0.0000, 0.3315, 0.0000) [4 per cell]
Tc (0.0000, 0.5000, 0.5000) [2 per cell]
Hg (0.0000, 0.5000, 0.1996) [4 per cell]

Which one sits at the top of the stability order? (A) does.

(A)
The following is a PBE calculation of an optimized crystal structure of Tb5HgTe4, from the Alexandria database.

Summary:
V: 29.52 Å³/atom

Cell lengths 9.7736, 9.7736, 6.1807 Å; angles 90.00, 90.00, 90.00 degrees
Space group I4/m (No. 87)
Symmetry-distinct sites (fractional):
Tb (0.0000, 0.0000, 0.0000) [2 per cell]
Tb (0.0988, 0.2892, 0.5000) [8 per cell]
Hg (0.0000, 0.0000, 0.5000) [2 per cell]
Te (0.0946, 0.3038, 0.0000) [8 per cell]

(B)
The following is a PBE calculation of an optimized crystal structure of Tb5HgTe4, from the Alexandria database.

Summary:
V: 29.47 Å³/atom

Cell lengths 4.3609, 4.3609, 30.9972 Å; angles 90.00, 90.00, 90.00 degrees
Space group I4/mmm (No. 139)
Symmetry-distinct sites (fractional):
Tb (0.0000, 0.0000, 0.0000) [2 per cell]
Tb (0.0000, 0.0000, 0.2007) [4 per cell]
Tb (0.0000, 0.0000, 0.4022) [4 per cell]
Hg (0.0000, 0.0000, 0.5000) [2 per cell]
Te (0.0000, 0.0000, 0.1016) [4 per cell]
Te (0.0000, 0.0000, 0.3013) [4 per cell]

Which one sits at the top of the stability order? (A) does.

(A)
The following is a PBE calculation of an optimized crystal structure of TbHgTe2, from the Alexandria database.

Summary:
V: 40.28 Å³/atom

Cell lengths 4.4834, 4.4834, 27.7701 Å; angles 90.00, 90.00, 120.00 degrees
Space group R-3m (No. 166, hexagonal axes)
Symmetry-distinct sites (fractional):
Tb (0.0000, 0.0000, 0.0000) [3 per cell]
Hg (0.0000, 0.0000, 0.5000) [3 per cell]
Te (0.0000, 0.0000, 0.3941) [6 per cell]

(B)
The following is a PBE calculation of an optimized crystal structure of TbHgTe2, from the Alexandria database.

Summary:
V: 36.94 Å³/atom

Cell lengths 4.4472, 7.9093, 8.7510 Å; angles 79.50, 77.53, 87.91 degrees
Space group P-1 (No. 2)
Symmetry-distinct sites (fractional):
Tb (0.2435, 0.2547, 0.4893) [2 per cell]
Hg (0.1236, 0.6564, 0.0045) [2 per cell]
Te (0.1612, 0.8894, 0.7033) [2 per cell]
Te (0.3536, 0.6235, 0.2985) [2 per cell]

Which one sits at the top of the stability order? (B) does.

(A)
The following is a PBE calculation of an optimized crystal structure of TbThHg, from the Alexandria database.

Summary:
V: 28.85 Å³/atom

Cell lengths 3.5821, 17.6209, 5.4846 Å; angles 90.00, 90.00, 90.00 degrees
Space group Cmcm (No. 63)
Symmetry-distinct sites (fractional):
Tb (0.0000, 0.0864, 0.2500) [4 per cell]
Th (0.0000, 0.2257, 0.7500) [4 per cell]
Hg (0.0000, 0.4368, 0.2500) [4 per cell]

(B)
The following is a PBE calculation of an optimized crystal structure of TbThHg, from the Alexandria database.

Summary:
V: 29.48 Å³/atom

Cell lengths 5.2595, 5.2595, 3.6915 Å; angles 90.00, 90.00, 120.00 degrees
Space group P3m1 (No. 156)
Symmetry-distinct sites (fractional):
Tb (0.0000, 0.0000, 0.0000) [1 per cell]
Th (0.3333, 0.6667, 0.5060) [1 per cell]
Hg (0.6667, 0.3333, 0.0212) [1 per cell]

Which one sits at the top of the stability order? (A) does.

(A)
The following is a PBE calculation of an optimized crystal structure of TbTh2Hg, from the Alexandria database.

Summary:
V: 29.10 Å³/atom

Cell lengths 4.8076, 4.8076, 5.0369 Å; angles 90.00, 90.00, 90.00 degrees
Space group P4/mmm (No. 123)
Symmetry-distinct sites (fractional):
Tb (0.0000, 0.0000, 0.0000) [1 per cell]
Th (0.0000, 0.5000, 0.5000) [2 per cell]
Hg (0.5000, 0.5000, 0.0000) [1 per cell]

(B)
The following is a PBE calculation of an optimized crystal structure of TbTh2Hg, from the Alexandria database.

Summary:
V: 30.40 Å³/atom

Cell lengths 3.5289, 3.5289, 9.7656 Å; angles 90.00, 90.00, 90.00 degrees
Space group P4/mmm (No. 123)
Symmetry-distinct sites (fractional):
Tb (0.0000, 0.0000, 0.0000) [1 per cell]
Th (0.5000, 0.5000, 0.2682) [2 per cell]
Hg (0.0000, 0.0000, 0.5000) [1 per cell]

(C)
The following is a PBE calculation of an optimized crystal structure of TbTh2Hg, from the Alexandria database.

Summary:
V: 30.63 Å³/atom

Cell lengths 3.4069, 3.4069, 36.5619 Å; angles 90.00, 90.00, 120.00 degrees
Space group R-3m (No. 166, hexagonal axes)
Symmetry-distinct sites (fractional):
Tb (0.0000, 0.0000, 0.0000) [3 per cell]
Th (0.0000, 0.0000, 0.0921) [6 per cell]
Hg (0.0000, 0.0000, 0.5000) [3 per cell]

Which one sits at the top of the stability order? (A) does.